(1)
# Cu2AgHgBi PBE-GGA optimized geometry
# - energy relative to the elements (eV/atom) = 0.77
data_Cu2AgHgBi
_chemical_formula_sum 'Cu2 Ag1 Hg1 Bi1'
_space_group_name_H-M_alt 'P 4/m m m'
_space_group_IT_number 123
_space_group_name_Hall '-P 4 2'
_cell_length_a 4.9482
_cell_length_b 4.9482
_cell_length_c 5.9858
_cell_angle_alpha 90.00
_cell_angle_beta 90.00
_cell_angle_gamma 90.00
loop_
_atom_site_label
_atom_site_type_symbol
_atom_site_fract_x
_atom_site_fract_y
_atom_site_fract_z
Cu1 Cu 0.0000 0.5000 0.0000
Ag1 Ag 0.0000 0.0000 0.5000
Hg1 Hg 0.5000 0.5000 0.5000
Bi1 Bi 0.5000 0.5000 0.0000


(2)
# LiCuAgBi PBE-GGA optimized geometry
# - energy relative to the elements (eV/atom) = -0.07
data_LiCuAgBi
_chemical_formula_sum 'Li4 Cu4 Ag4 Bi4'
_space_group_name_H-M_alt 'F -4 3 m'
_space_group_IT_number 216
_space_group_name_Hall 'F -4 2 3'
_cell_length_a 6.6377
_cell_length_b 6.6377
_cell_length_c 6.6377
_cell_angle_alpha 90.00
_cell_angle_beta 90.00
_cell_angle_gamma 90.00
loop_
_atom_site_label
_atom_site_type_symbol
_atom_site_fract_x
_atom_site_fract_y
_atom_site_fract_z
Li1 Li 0.0000 0.0000 0.0000
Cu1 Cu 0.0000 0.0000 0.5000
Ag1 Ag 0.2500 0.2500 0.2500
Bi1 Bi 0.2500 0.2500 0.7500


(3)
# NaCuAgBi PBE-GGA optimized geometry
# - energy relative to the elements (eV/atom) = 0.06
data_NaCuAgBi
_chemical_formula_sum 'Na4 Cu4 Ag4 Bi4'
_space_group_name_H-M_alt 'F -4 3 m'
_space_group_IT_number 216
_space_group_name_Hall 'F -4 2 3'
_cell_length_a 6.9688
_cell_length_b 6.9688
_cell_length_c 6.9688
_cell_angle_alpha 90.00
_cell_angle_beta 90.00
_cell_angle_gamma 90.00
loop_
_atom_site_label
_atom_site_type_symbol
_atom_site_fract_x
_atom_site_fract_y
_atom_site_fract_z
Na1 Na 0.0000 0.0000 0.0000
Cu1 Cu 0.2500 0.2500 0.7500
Ag1 Ag 0.2500 0.2500 0.2500
Bi1 Bi 0.0000 0.0000 0.5000


(4)
# CuAgBiO2 PBE-GGA optimized geometry
# - formation energy without anion corrections (kJ/mol of formula units) = 96.0
data_CuAgBiO2
_chemical_formula_sum 'Cu1 Ag1 Bi1 O2'
_space_group_name_H-M_alt 'P 4/m m m'
_space_group_IT_number 123
_space_group_name_Hall '-P 4 2'
_cell_length_a 4.2577
_cell_length_b 4.2577
_cell_length_c 5.3455
_cell_angle_alpha 90.00
_cell_angle_beta 90.00
_cell_angle_gamma 90.00
loop_
_atom_site_label
_atom_site_type_symbol
_atom_site_fract_x
_atom_site_fract_y
_atom_site_fract_z
Cu1 Cu 0.0000 0.0000 0.0000
Ag1 Ag 0.5000 0.5000 0.0000
Bi1 Bi 0.0000 0.0000 0.5000
O1 O 0.0000 0.5000 0.5000


no.,raw total energy (eV per atom)
1,-2.2762
2,-3.2537
3,-2.9761
4,-3.9500